(1)
The following is a PBE calculation of a relaxed TbCd2Hg6 crystal, from Alexandria via LeMat-Bulk.

Geometry as extended XYZ:
```
9
Lattice="-4.399 2.629 -0.485 1.174 -2.248 4.479 4.490 8.039 2.853" Properties=species:S:1:pos:R:3 pbc="T T T"
Hg 0.944 2.291 3.857
Hg -2.459 1.750 4.479
Hg 3.725 6.670 2.368
Hg 1.839 8.845 3.952
Hg -0.573 -0.425 2.894
Hg 0.322 6.129 2.989
Tb 2.245 4.020 1.426
Cd 2.403 4.903 4.786
Cd -1.137 3.517 2.061
```

ρ = 11.9 g/cm³
E above lowest polymorph = 0 meV/atom
crystal system = trigonal
formation energy from the elements = -138 meV/atom
symmetry = No. 164


(2)
The following is a PBE calculation of a relaxed Zn2Rh2Pb crystal, from Alexandria via LeMat-Bulk.

Geometry as extended XYZ:
```
5
Lattice="-0.402 3.488 2.636 -3.748 -1.638 1.596 0.367 -1.357 5.508" Properties=species:S:1:pos:R:3 pbc="T T T"
Zn -1.445 0.336 2.991
Zn -2.337 0.157 6.749
Rh -1.054 1.528 5.130
Rh -2.728 -1.035 4.610
Pb 0.000 0.000 0.000
```

ρ = 9.8 g/cm³
E above lowest polymorph = 211 meV/atom
crystal system = tetragonal
formation energy from the elements = 53 meV/atom
symmetry = No. 139


(3)
The following is a PBE calculation of a relaxed Li2BO3 crystal, from Alexandria via LeMat-Bulk.

Geometry as extended XYZ:
```
12
Lattice="-3.900 -0.029 -1.952 0.375 -5.177 -0.674 -2.203 1.846 4.374" Properties=species:S:1:pos:R:3 pbc="T T T"
B -1.759 -2.832 3.042
B -2.430 -0.516 -0.523
Li -1.116 0.013 2.020
Li -0.283 -2.257 0.388
Li -3.663 -1.089 2.253
Li -2.829 -3.360 0.621
O -3.663 -0.357 -1.373
O -2.770 -0.067 0.811
O -2.089 -1.924 -0.523
O -5.470 -1.449 1.355
O -4.789 -3.306 0.021
O -3.177 -3.010 2.566
```

ρ = 2.3 g/cm³
E above lowest polymorph = 0 meV/atom
crystal system = orthorhombic
symmetry = No. 36
formation energy from raw total energies = -1149 kJ/mol of formula units


(4)
The following is a PBE calculation of a relaxed Cd4Si3 crystal, from Alexandria via LeMat-Bulk.

Geometry as extended XYZ:
```
7
Lattice="-5.519 0.313 -0.694 -0.708 -3.970 3.844 -0.279 3.896 3.972" Properties=species:S:1:pos:R:3 pbc="T T T"
Cd -1.684 -2.402 3.736
Cd -1.419 2.448 3.815
Cd -4.650 0.239 0.938
Cd -5.259 0.193 5.757
Si -2.899 2.104 1.639
Si -0.493 -0.037 3.908
Si -3.114 -1.829 1.575
```

ρ = 5.1 g/cm³
E above lowest polymorph = 323 meV/atom
crystal system = cubic
symmetry = No. 215
formation energy from raw total energies = 420 kJ/mol of formula units


(5)
The following is a PBE calculation of a relaxed Sm3Tm2Sc8 crystal, from Alexandria via LeMat-Bulk.

Geometry as extended XYZ:
```
13
Lattice="6.734 0.000 -0.751 0.000 8.678 0.000 -3.754 -4.339 6.814" Properties=species:S:1:pos:R:3 pbc="T T T"
Sc 5.430 4.339 0.231
Sc -2.223 4.339 4.136
Sc 3.049 2.734 1.253
Sc -0.069 1.605 4.810
Sc 5.203 0.000 1.927
Sc -0.069 -1.605 4.810
Sc 3.049 5.944 1.253
Sc -2.450 0.000 5.833
Sm 0.000 1.607 0.000
Sm 0.000 7.070 0.000
Sm 3.367 0.000 -0.375
Tm 1.916 0.000 2.841
Tm 1.064 4.339 3.223
```

ρ = 5.1 g/cm³
crystal system = monoclinic
formation energy from the elements = 259 meV/atom
symmetry = No. 12


(6)
The following is a PBE calculation of a relaxed BaCd2GaPd crystal, from Alexandria via LeMat-Bulk.

Geometry as extended XYZ:
```
5
Lattice="4.578 0.000 0.000 0.000 4.924 0.000 -2.289 -2.462 5.772" Properties=species:S:1:pos:R:3 pbc="T T T"
Pd 2.289 2.462 3.574
Cd 0.000 0.000 0.568
Cd 2.289 0.000 2.336
Ga 0.000 2.462 2.392
Ba 0.000 0.000 5.122
```

ρ = 6.9 g/cm³
E above lowest polymorph = 0 meV/atom
crystal system = orthorhombic
formation energy from the elements = -400 meV/atom
symmetry = No. 44


Number 1: spin magnetization 0.00 μB/f.u., volume 221.2 Å³ per cell. Number 2: spin magnetization 0.00 μB/f.u., volume 91.8 Å³ per cell. Number 3: spin magnetization 1.01 μB/f.u., volume 104.4 Å³ per cell. Number 4: spin magnetization 0.00 μB/f.u., volume 172.9 Å³ per cell. Number 5: spin magnetization 0.00 μB/f.u., volume 373.7 Å³ per cell. Number 6: spin magnetization 0.00 μB/f.u., volume 130.1 Å³ per cell.